Compound: SiAsOsSe2
Source: Alexandria via LeMat-Bulk
Functional: SCAN
Structure: PBEsol geometry

```
data_SiAsOsSe2
_cell_length_a 4.542
_cell_length_b 4.542
_cell_length_c 4.520
_cell_angle_alpha 90.00
_cell_angle_beta 90.00
_cell_angle_gamma 90.00
_symmetry_space_group_name_H-M 'P 4/m m m'
_symmetry_Int_Tables_number 123
_symmetry_space_group_name_Hall '-P 4 2'
loop_
_atom_site_label
_atom_site_type_symbol
_atom_site_fract_x
_atom_site_fract_y
_atom_site_fract_z
Si1 Si 0.000 0.000 0.000
As1 As 0.000 0.000 0.500
Os1 Os 0.500 0.500 0.500
Se1 Se 0.000 0.500 0.000
```

Properties
For the total energy, the calculation gives -27.02 eV per atom. The calculation puts the total magnetization at 0.00 Bohr magnetons per cell. Its uncorrected formation energy is 32.917 kcal/mol of atoms. For the volume, the calculation gives 93.3 Å³ per cell.